Compound: Ga2CuS4
Source: Alexandria
Functional: PBE-GGA
Structure: relaxed

Lattice parameters (Å, degrees): 5.1160 5.1160 5.5515 90.00 90.00 90.00
Positions (direct):
Ga: 0.5000 0.0000 0.5000
Cu: 0.0000 0.0000 0.0000
S: 0.2582 0.7418 0.7571
S: 0.2582 0.2582 0.2429
S: 0.7418 0.7418 0.2429
S: 0.7418 0.2582 0.7571
Ga: 0.0000 0.5000 0.5000

Relative energy among the computed polymorphs   0.000 eV/atom
Energy relative to the elements, uncorrected   -505 meV per atom
Mass density   3.79 Mg/m³
DOS(E_F)   6.29 states/eV/cell

=====

Compound: Ga3CuS
Source: Alexandria
Functional: PBE-GGA
Structure: relaxed

Lattice parameters (Å, degrees): 4.6552 4.6552 4.6552 90.00 90.00 90.00
Positions (direct):
Ga: 0.0000 0.0000 0.5000
Cu: 0.0000 0.0000 0.0000
Ga: 0.5000 0.0000 0.0000
S: 0.5000 0.5000 0.5000
Ga: 0.0000 0.5000 0.0000

Relative energy among the computed polymorphs   0.000 eV/atom
Energy relative to the elements, uncorrected   61 meV per atom
Mass density   5.02 Mg/m³
DOS(E_F)   0.44 states/eV/cell